# 1
Pr6CdPb: optimized geometry, PBE.

abc: 5.046 5.046 9.996
angles: 90.00 90.00 90.00
Element x y z (fractional)
Pr1 0.500 0.500 0.000
Pr2 0.500 0.500 0.500
Pr3 0.000 0.500 0.751
Cd1 0.000 0.000 0.000
Pr4 0.500 0.000 0.249
Pr5 0.500 0.000 0.751
Pr6 0.000 0.500 0.249
Pb1 0.000 0.000 0.500

* electronic total energy: -4.390 eV/atom
* M_tot: 0.00 Bohr magnetons per cell
* formation enthalpy at 0 K: -0.23 eV/atom


# 2
YAuC2: optimized geometry, PBE.

abc: 4.421 4.421 7.295
angles: 72.36 72.36 90.00
Element x y z (fractional)
Au1 0.000 0.000 0.000
C1 0.045 0.625 0.250
Y1 0.250 0.750 0.500
C2 0.705 0.125 0.250
C3 0.875 0.955 0.750
C4 0.375 0.295 0.750
Y2 0.500 0.500 0.000
Au2 0.750 0.250 0.500

* polymorph energy (0 for the lowest one): 0.00 eV/f.u.
* electronic total energy: -5.985 eV/atom
* M_tot: 0.00 Bohr magnetons per cell
* formation enthalpy at 0 K: 1.06 eV/atom


# 3
Y5ErMg: optimized geometry, PBE.

abc: 6.530 6.571 12.233
angles: 98.41 90.00 119.79
Element x y z (fractional)
Y1 0.797 0.000 0.750
Y2 0.405 0.696 0.947
Y3 0.203 0.000 0.250
Er1 0.298 0.000 0.750
Mg1 0.000 0.000 0.000
Y4 0.308 0.476 0.673
Y5 0.595 0.304 0.053
Y6 0.709 0.304 0.553
Er2 0.702 0.000 0.250
Mg2 0.000 0.000 0.500
Y7 0.692 0.524 0.327
Y8 0.832 0.524 0.827
Y9 0.291 0.696 0.447
Y10 0.168 0.476 0.173

* polymorph energy (0 for the lowest one): 0.29 eV/f.u.
* electronic total energy: -5.309 eV/atom
* M_tot: 0.00 Bohr magnetons per cell
* formation enthalpy at 0 K: 0.19 eV/atom


# 4
Li2ZrTl2: optimized geometry, PBE.

abc: 3.963 3.963 7.303
angles: 74.26 74.26 90.00
Element x y z (fractional)
Li1 0.250 0.750 0.500
Tl1 0.609 0.609 0.782
Li2 0.750 0.250 0.500
Zr1 0.000 0.000 0.000
Tl2 0.391 0.391 0.218

* polymorph energy (0 for the lowest one): 0.43 eV/f.u.
* electronic total energy: -3.422 eV/atom
* M_tot: 0.00 Bohr magnetons per cell
* formation enthalpy at 0 K: 0.00 eV/atom


# 5
RuCSeN: optimized geometry, PBE.

abc: 3.361 3.957 6.324
angles: 73.88 74.53 64.87
Element x y z (fractional)
Se1 0.774 0.441 0.377
N1 0.339 0.865 0.823
C1 0.203 0.204 0.755
Ru1 0.032 0.712 0.590

* polymorph energy (0 for the lowest one): 0.44 eV/f.u.
* electronic total energy: -7.205 eV/atom
* M_tot: 0.64 Bohr magnetons per cell


# 6
Sr3Ce2ThP6: optimized geometry, PBE.

abc: 7.339 7.339 7.383
angles: 99.54 99.54 119.99
Element x y z (fractional)
Th1 0.000 0.000 0.000
Sr1 0.166 0.834 0.500
P1 0.410 0.073 0.220
P2 0.263 0.263 0.780
Ce1 0.333 0.667 0.000
P3 0.927 0.590 0.780
Sr2 0.834 0.166 0.500
P4 0.737 0.737 0.220
P5 0.590 0.927 0.780
P6 0.073 0.410 0.220
Ce2 0.667 0.333 0.000
Sr3 0.500 0.500 0.500

* electronic total energy: -6.061 eV/atom
* M_tot: 0.00 Bohr magnetons per cell
* formation enthalpy at 0 K: -1.33 eV/atom